Here is MoAs2Os after structural relaxation from Alexandria. Energies are from GGA-PBE.

Cell: 2.822 2.822 10.114 Å, 90.00 90.00 116.69°
Sites, in units of the cell vectors:
Mo  0.000  0.000  0.517
Os  0.500  0.500  0.737
As  0.000  0.000  0.945
As  0.500  0.500  0.300

Summary:
* relative energy among the computed polymorphs: 317 meV/atom
* SG: Cmm2

Here is MoAsOs after structural relaxation from Alexandria. Energies are from GGA-PBE.

Cell: 7.000 6.765 2.814 Å, 82.92 73.56 23.51°
Sites, in units of the cell vectors:
Mo  0.671  0.671  0.329
Os  0.329  0.329  0.671
As  0.000  0.000  0.000

Summary:
* relative energy among the computed polymorphs: 455 meV/atom
* SG: Fmm2

Here is MoAs2Os after structural relaxation from Alexandria. Energies are from GGA-PBE.

Cell: 4.818 4.818 4.818 Å, 130.82 130.82 72.10°
Sites, in units of the cell vectors:
Mo  0.500  0.500  0.000
Os  0.750  0.250  0.500
As  0.000  0.000  0.000
As  0.250  0.750  0.500

Summary:
* relative energy among the computed polymorphs: 389 meV/atom
* SG: I-4m2

Here is MoAsOs4 after structural relaxation from Alexandria. Energies are from GGA-PBE.

Cell: 5.164 5.164 5.164 Å, 60.00 60.00 60.00°
Sites, in units of the cell vectors:
Mo  0.000  0.000  0.000
As  0.750  0.750  0.750
Os  0.875  0.375  0.375
Os  0.375  0.375  0.875
Os  0.375  0.875  0.375
Os  0.375  0.375  0.375

Summary:
* SG: F-43m

Here is MoAs2Os after structural relaxation from Alexandria. Energies are from GGA-PBE.

Cell: 3.053 5.224 4.047 Å, 90.00 90.00 90.00°
Sites, in units of the cell vectors:
Mo  0.500  0.000  0.500
Os  0.000  0.500  0.500
As  0.000  0.000  0.000
As  0.500  0.500  0.000

Summary:
* relative energy among the computed polymorphs: 491 meV/atom
* SG: Pmmm

Here is MoAs4Os after structural relaxation from Alexandria. Energies are from GGA-PBE.

Cell: 5.277 5.277 5.277 Å, 60.00 60.00 60.00°
Sites, in units of the cell vectors:
Mo  0.750  0.750  0.750
As  0.875  0.375  0.375
As  0.375  0.375  0.875
As  0.375  0.875  0.375
As  0.375  0.375  0.375
Os  0.000  0.000  0.000

Summary:
* SG: F-43m

Here is MoAsOs after structural relaxation from Alexandria. Energies are from GGA-PBE.

Cell: 4.610 4.610 4.610 Å, 143.11 127.64 65.77°
Sites, in units of the cell vectors:
Mo  0.327  0.327  0.000
Os  0.673  0.673  0.000
As  0.999  0.999  0.000

Summary:
* relative energy among the computed polymorphs: 170 meV/atom
* SG: Imm2

Here is MoAs2Os after structural relaxation from Alexandria. Energies are from GGA-PBE.

Cell: 4.687 4.687 4.640 Å, 74.11 74.11 39.20°
Sites, in units of the cell vectors:
Mo  0.500  0.500  0.580
Os  0.249  0.249  0.180
As  0.991  0.991  0.046
As  0.760  0.760  0.693

Summary:
* relative energy among the computed polymorphs: 87 meV/atom
* SG: Cm

Here is MoAs2Os after structural relaxation from Alexandria. Energies are from GGA-PBE.

Cell: 5.470 5.470 5.470 Å, 147.33 134.55 57.09°
Sites, in units of the cell vectors:
Mo  0.499  0.499  0.000
Os  0.234  0.734  0.500
As  0.020  0.020  0.000
As  0.746  0.246  0.500

Summary:
* relative energy among the computed polymorphs: 232 meV/atom
* SG: Imm2

Here is MoAs2Os after structural relaxation from Alexandria. Energies are from GGA-PBE.

Cell: 2.875 4.064 5.350 Å, 90.00 90.00 90.00°
Sites, in units of the cell vectors:
Mo  0.000  0.000  0.477
Os  0.500  0.500  0.774
As  0.000  0.000  0.952
As  0.500  0.500  0.297

Summary:
* relative energy among the computed polymorphs: 116 meV/atom
* SG: Pmm2

Here is MoAs2Os after structural relaxation from Alexandria. Energies are from GGA-PBE.

Cell: 3.008 3.008 8.058 Å, 90.00 90.00 118.01°
Sites, in units of the cell vectors:
Mo  0.500  0.500  0.250
Os  0.500  0.500  0.750
As  0.000  0.000  0.998
As  0.000  0.000  0.502

Summary:
* relative energy among the computed polymorphs: 530 meV/atom
* SG: Cmmm

Here is MoAs2Os after structural relaxation from Alexandria. Energies are from GGA-PBE.

Cell: 8.102 8.102 8.102 Å, 21.38 21.38 21.38°
Sites, in units of the cell vectors:
Mo  0.250  0.250  0.250
Os  0.750  0.750  0.750
As  0.002  0.002  0.002
As  0.498  0.498  0.498

Summary:
* relative energy among the computed polymorphs: 276 meV/atom
* SG: R-3m

Result set for energy of formation from the pure elements: 0.34 0.53 0.41 0.83 0.51 1.15 0.25 0.11 0.25 0.14 0.55 0.30 eV per atom, one per record in the order listed.
Result set for VASP energy: -30.006 -25.106 -29.721 -55.430 -29.312 -33.763 -25.962 -30.928 -30.346 -30.813 -29.154 -30.170 eV/cell, one per record in the order listed.
Result set for calculated volume: 72.0 47.6 62.6 97.4 64.6 103.9 45.9 61.6 62.5 62.5 64.4 61.9 Å³ per cell, one per record in the order listed.